Entry 1:
# Zn2FeNi, relaxed, DFT GGA-PBE
data_Zn2FeNi
_cell_length_a 3.6125
_cell_length_b 3.7152
_cell_length_c 3.7285
_cell_angle_alpha 90.00
_cell_angle_beta 90.00
_cell_angle_gamma 90.00
_space_group_name_H-M_alt 'P m m m'
_space_group_IT_number 47
loop_
_space_group_symop_operation_xyz
'x,y,z'
'-x,-y,-z'
'-x,-y,z'
'x,y,-z'
'x,-y,-z'
'-x,y,z'
'-x,y,-z'
'x,-y,z'
loop_
_atom_site_label
_atom_site_fract_x
_atom_site_fract_y
_atom_site_fract_z
Zn1 0.0000 0.0000 0.0000
Zn2 0.0000 0.5000 0.5000
Fe1 0.5000 0.0000 0.5000
Ni1 0.5000 0.5000 0.0000
# E_form, kJ/mol of atoms: -4.1


Entry 2:
# HfNb2Bi, relaxed, DFT GGA-PBE
data_HfNb2Bi
_cell_length_a 7.8392
_cell_length_b 7.8392
_cell_length_c 5.8909
_cell_angle_alpha 90.00
_cell_angle_beta 90.00
_cell_angle_gamma 90.00
_space_group_name_H-M_alt 'I -4 2 d'
_space_group_IT_number 122
_space_group_name_Hall 'I -4 2bw'
loop_
_atom_site_label
_atom_site_fract_x
_atom_site_fract_y
_atom_site_fract_z
Hf1 0.0000 0.0000 0.0000
Nb1 0.2478 0.7500 0.6250
Bi1 0.0000 0.0000 0.5000
# E_form, kJ/mol of atoms: 72.3


Entry 3:
# CaBe2Ga2, relaxed, DFT GGA-PBE
data_CaBe2Ga2
_cell_length_a 4.0362
_cell_length_b 4.0362
_cell_length_c 9.9782
_cell_angle_alpha 90.00
_cell_angle_beta 90.00
_cell_angle_gamma 90.00
_space_group_name_H-M_alt 'I 4/m m m'
_space_group_IT_number 139
_space_group_name_Hall '-I 4 2'
loop_
_atom_site_label
_atom_site_fract_x
_atom_site_fract_y
_atom_site_fract_z
Ca1 0.0000 0.0000 0.0000
Be1 0.0000 0.5000 0.2500
Ga1 0.0000 0.0000 0.3714
# E_form, kJ/mol of atoms: -16.0


Entry 4:
# Dy2Ho7Er3, relaxed, DFT GGA-PBE
data_Dy2Ho7Er3
_cell_length_a 6.1271
_cell_length_b 5.4402
_cell_length_c 11.9108
_cell_angle_alpha 90.00
_cell_angle_beta 91.54
_cell_angle_gamma 90.00
_space_group_name_H-M_alt 'P 1 2/m 1'
_space_group_IT_number 10
loop_
_space_group_symop_operation_xyz
'x,y,z'
'-x,-y,-z'
'-x,y,-z'
'x,-y,z'
loop_
_atom_site_label
_atom_site_fract_x
_atom_site_fract_y
_atom_site_fract_z
Dy1 0.1057 0.0000 0.2787
Ho1 0.0629 0.5000 0.8208
Ho2 0.2644 0.0000 0.5463
Ho3 0.4133 0.0000 0.8325
Ho4 0.5000 0.5000 0.0000
Er1 0.0000 0.0000 0.0000
Er2 0.4465 0.5000 0.3395
# E_form, kJ/mol of atoms: 30.9


Entry 5:
# Li2CeIn2, relaxed, DFT GGA-PBE
data_Li2CeIn2
_cell_length_a 5.1993
_cell_length_b 4.9413
_cell_length_c 9.7334
_cell_angle_alpha 90.00
_cell_angle_beta 104.53
_cell_angle_gamma 90.00
_space_group_name_H-M_alt 'P 1 21/m 1'
_space_group_IT_number 11
loop_
_space_group_symop_operation_xyz
'x,y,z'
'-x,-y,-z'
'-x,y+1/2,-z'
'x,-y+1/2,z'
loop_
_atom_site_label
_atom_site_fract_x
_atom_site_fract_y
_atom_site_fract_z
Li1 0.0606 0.2500 0.0754
Li2 0.1518 0.7500 0.2990
Ce1 0.3410 0.7500 0.6964
In1 0.2435 0.2500 0.4827
In2 0.4787 0.2500 0.9123
# E_form, kJ/mol of atoms: -22.9


Entry 6:
# KSr2AcO4, relaxed, DFT GGA-PBE
data_KSr2AcO4
_cell_length_a 5.2424
_cell_length_b 5.2424
_cell_length_c 10.8480
_cell_angle_alpha 90.00
_cell_angle_beta 90.00
_cell_angle_gamma 90.00
_space_group_name_H-M_alt 'I 4/m m m'
_space_group_IT_number 139
_space_group_name_Hall '-I 4 2'
loop_
_atom_site_label
_atom_site_fract_x
_atom_site_fract_y
_atom_site_fract_z
K1 0.0000 0.0000 0.0000
Sr1 0.0000 0.5000 0.2500
Ac1 0.0000 0.0000 0.5000
O1 0.0000 0.0000 0.2715
O2 0.0000 0.5000 0.0000
# Energy relative to the elements, uncorrected, meV per atom: -2593


Entry 7:
# CaPb2Br, relaxed, DFT GGA-PBE
data_CaPb2Br
_cell_length_a 3.7005
_cell_length_b 5.4518
_cell_length_c 6.0343
_cell_angle_alpha 90.00
_cell_angle_beta 90.00
_cell_angle_gamma 90.00
_space_group_name_H-M_alt 'P m m m'
_space_group_IT_number 47
loop_
_space_group_symop_operation_xyz
'x,y,z'
'-x,-y,-z'
'-x,-y,z'
'x,y,-z'
'x,-y,-z'
'-x,y,z'
'-x,y,-z'
'x,-y,z'
loop_
_atom_site_label
_atom_site_fract_x
_atom_site_fract_y
_atom_site_fract_z
Ca1 0.0000 0.0000 0.0000
Pb1 0.0000 0.5000 0.5000
Pb2 0.5000 0.0000 0.5000
Br1 0.5000 0.5000 0.0000
# Energy relative to the elements, uncorrected, meV per atom: -547